# RbGe3Mo | Alexandria | GGA-PBE | optimized geometry
# size of the total moment: 0.0778 μB per atom
# excess energy over the best structure of this formula in the dataset: 12.63 eV/f.u.
# ΔE_f: 2.606 eV per atom
data_RbGe3Mo
_space_group_name_H-M_alt 'P m -3 m'
_space_group_IT_number 221
_space_group_name_Hall '-P 4 2 3'
_cell_length_a 5.280
_cell_length_b 5.280
_cell_length_c 5.280
_cell_angle_alpha 90.00
_cell_angle_beta 90.00
_cell_angle_gamma 90.00
loop_
_atom_site_label
_atom_site_type_symbol
_atom_site_fract_x
_atom_site_fract_y
_atom_site_fract_z
_atom_site_occupancy
Rb1 Rb 0.000 0.000 0.000 1
Ge1 Ge 0.000 0.000 0.500 1
Mo1 Mo 0.500 0.500 0.500 1

# Ti2Al2S | Alexandria | GGA-PBE | optimized geometry
# formation energy without anion corrections: -0.55 eV per atom
# size of the total moment: 0.0000 μB per atom
data_Ti2Al2S
_space_group_name_H-M_alt 'P 4/m b m'
_space_group_IT_number 127
_space_group_name_Hall '-P 4 2ab'
_cell_length_a 6.285
_cell_length_b 6.285
_cell_length_c 4.258
_cell_angle_alpha 90.00
_cell_angle_beta 90.00
_cell_angle_gamma 90.00
loop_
_atom_site_label
_atom_site_type_symbol
_atom_site_fract_x
_atom_site_fract_y
_atom_site_fract_z
_atom_site_occupancy
Ti1 Ti 0.162 0.338 0.000 1
Al1 Al 0.145 0.645 0.500 1
S1 S 0.000 0.000 0.000 1

# CeMg5Ga2 | Alexandria | GGA-PBE | optimized geometry
# size of the total moment: 0.1177 μB per atom
# ΔE_f: -0.195 eV per atom
data_CeMg5Ga2
_space_group_name_H-M_alt 'I m m m'
_space_group_IT_number 71
_space_group_name_Hall '-I 2 2'
_cell_length_a 4.323
_cell_length_b 8.236
_cell_length_c 10.230
_cell_angle_alpha 90.00
_cell_angle_beta 90.00
_cell_angle_gamma 90.00
loop_
_atom_site_label
_atom_site_type_symbol
_atom_site_fract_x
_atom_site_fract_y
_atom_site_fract_z
_atom_site_occupancy
Ce1 Ce 0.000 0.000 0.000 1
Mg1 Mg 0.000 0.182 0.346 1
Mg2 Mg 0.000 0.500 0.000 1
Ga1 Ga 0.000 0.500 0.275 1

# Rb2PdSeI6 | Alexandria | GGA-PBE | optimized geometry
# formation energy without anion corrections: -0.63 eV per atom
# size of the total moment: 0.0000 μB per atom
data_Rb2PdSeI6
_space_group_name_H-M_alt 'I 4/m m m'
_space_group_IT_number 139
_space_group_name_Hall '-I 4 2'
_cell_length_a 8.180
_cell_length_b 8.180
_cell_length_c 11.555
_cell_angle_alpha 90.00
_cell_angle_beta 90.00
_cell_angle_gamma 90.00
loop_
_atom_site_label
_atom_site_type_symbol
_atom_site_fract_x
_atom_site_fract_y
_atom_site_fract_z
_atom_site_occupancy
Rb1 Rb 0.000 0.500 0.250 1
Pd1 Pd 0.000 0.000 0.000 1
Se1 Se 0.000 0.000 0.500 1
I1 I 0.000 0.000 0.243 1
I2 I 0.241 0.241 0.000 1

# Re2SiCl | Alexandria | GGA-PBE | optimized geometry
# formation energy without anion corrections: 0.82 eV per atom
# size of the total moment: 0.0002 μB per atom
# excess energy over the best structure of this formula in the dataset: 2.23 eV/f.u.
data_Re2SiCl
_space_group_name_H-M_alt 'P m m m'
_space_group_IT_number 47
_cell_length_a 2.734
_cell_length_b 4.306
_cell_length_c 5.179
_cell_angle_alpha 90.00
_cell_angle_beta 90.00
_cell_angle_gamma 90.00
loop_
_space_group_symop_operation_xyz
'x,y,z'
'-x,-y,-z'
'-x,-y,z'
'x,y,-z'
'x,-y,-z'
'-x,y,z'
'-x,y,-z'
'x,-y,z'
loop_
_atom_site_label
_atom_site_type_symbol
_atom_site_fract_x
_atom_site_fract_y
_atom_site_fract_z
_atom_site_occupancy
Re1 Re 0.000 0.000 0.000 1
Re2 Re 0.500 0.000 0.500 1
Si1 Si 0.000 0.500 0.500 1
Cl1 Cl 0.500 0.500 0.000 1

# LiDy2Sc | Alexandria | GGA-PBE | optimized geometry
# size of the total moment: 0.0009 μB per atom
# excess energy over the best structure of this formula in the dataset: 0.00 eV/f.u.
# ΔE_f: 0.085 eV per atom
data_LiDy2Sc
_space_group_name_H-M_alt 'P 4/m m m'
_space_group_IT_number 123
_space_group_name_Hall '-P 4 2'
_cell_length_a 3.592
_cell_length_b 3.592
_cell_length_c 8.313
_cell_angle_alpha 90.00
_cell_angle_beta 90.00
_cell_angle_gamma 90.00
loop_
_atom_site_label
_atom_site_type_symbol
_atom_site_fract_x
_atom_site_fract_y
_atom_site_fract_z
_atom_site_occupancy
Li1 Li 0.000 0.000 0.000 1
Dy1 Dy 0.500 0.500 0.241 1
Sc1 Sc 0.000 0.000 0.500 1

# NaGa2Sn2 | Alexandria | GGA-PBE | optimized geometry
# size of the total moment: 0.0000 μB per atom
# excess energy over the best structure of this formula in the dataset: 0.34 eV/f.u.
# ΔE_f: -0.016 eV per atom
data_NaGa2Sn2
_space_group_name_H-M_alt 'P 4/m b m'
_space_group_IT_number 127
_space_group_name_Hall '-P 4 2ab'
_cell_length_a 8.298
_cell_length_b 8.298
_cell_length_c 3.606
_cell_angle_alpha 90.00
_cell_angle_beta 90.00
_cell_angle_gamma 90.00
loop_
_atom_site_label
_atom_site_type_symbol
_atom_site_fract_x
_atom_site_fract_y
_atom_site_fract_z
_atom_site_occupancy
Na1 Na 0.000 0.000 0.000 1
Ga1 Ga 0.155 0.345 0.500 1
Sn1 Sn 0.140 0.640 0.000 1

# Ti2Ni9Ru | Alexandria | GGA-PBE | optimized geometry
# size of the total moment: 0.2502 μB per atom
# ΔE_f: -0.244 eV per atom
data_Ti2Ni9Ru
_space_group_name_H-M_alt 'P 4/m m m'
_space_group_IT_number 123
_space_group_name_Hall '-P 4 2'
_cell_length_a 3.611
_cell_length_b 3.611
_cell_length_c 10.861
_cell_angle_alpha 90.00
_cell_angle_beta 90.00
_cell_angle_gamma 90.00
loop_
_atom_site_label
_atom_site_type_symbol
_atom_site_fract_x
_atom_site_fract_y
_atom_site_fract_z
_atom_site_occupancy
Ti1 Ti 0.000 0.000 0.167 1
Ni1 Ni 0.000 0.500 0.000 1
Ni2 Ni 0.000 0.500 0.331 1
Ni3 Ni 0.500 0.500 0.166 1
Ni4 Ni 0.500 0.500 0.500 1
Ru1 Ru 0.000 0.000 0.500 1